[1]
CdAgIr2 | Alexandria via LeMat-Bulk | PBE-GGA | relaxed; formation energy = 0.6511 eV/atom; uncorrected energy = -4.72 eV/atom
1.0
-0.776 1.781 3.275
-2.702 -2.573 0.759
4.952 -6.049 6.678
Ir Ag Cd
4 2 2
Direct
0.612 0.125 0.250
0.138 0.625 0.250
0.375 0.388 0.750
0.875 0.862 0.750
0.500 0.500 0.000
0.250 0.750 0.500
0.000 0.000 0.000
0.750 0.250 0.500

---

[2]
PrSmHg | Alexandria via LeMat-Bulk | PBE-GGA | relaxed; energy above the lowest structure with this stoichiometry = 0.374 eV per formula unit; formation energy = -0.1809 eV/atom; uncorrected energy = -3.45 eV/atom
1.0
3.860 0.000 0.000
0.000 5.230 0.000
0.000 -2.615 4.529
Pr Hg Sm
1 1 1
Direct
0.366 0.333 0.667
0.703 0.667 0.333
0.930 0.000 0.000

---

[3]
RbCoRhS3 | Alexandria via LeMat-Bulk | PBE-GGA | relaxed; formation energy (no corrections) = -0.62 eV/atom; uncorrected energy = -5.26 eV/atom
1.0
-0.617 2.820 2.237
3.207 -4.375 6.401
6.027 5.123 -4.798
Rb Co Rh S
2 2 2 6
Direct
0.250 0.237 0.255
0.750 0.763 0.745
0.250 0.086 0.604
0.750 0.914 0.396
0.250 0.682 0.155
0.750 0.318 0.845
0.750 0.869 0.144
0.250 0.131 0.856
0.250 0.797 0.451
0.750 0.203 0.549
0.750 0.484 0.133
0.250 0.516 0.867

---

[4]
CaMg4Cu2 | Alexandria via LeMat-Bulk | PBE-GGA | relaxed; energy above the lowest structure with this stoichiometry = 0.131 eV per formula unit; formation energy = -0.0725 eV/atom; uncorrected energy = -2.44 eV/atom
1.0
-2.497 2.214 2.714
-1.255 -3.726 1.884
6.724 2.417 4.214
Ca Mg Cu
1 4 2
Direct
0.000 0.000 0.000
0.500 0.824 0.648
0.000 0.676 0.353
0.500 0.176 0.352
0.000 0.324 0.647
0.500 0.575 0.150
0.500 0.425 0.850

---

[5]
Pm2TmSi | Alexandria via LeMat-Bulk | PBE-GGA | relaxed; energy above the lowest structure with this stoichiometry = 0.049 eV per formula unit; formation energy (no corrections) = -0.23 eV/atom; uncorrected energy = -5.08 eV/atom
1.0
-2.850 2.608 1.216
-2.729 -1.907 -2.306
-1.486 -3.976 5.046
Si Tm Pm
1 1 2
Direct
0.500 0.500 0.000
0.500 0.500 0.500
0.000 0.000 0.780
0.000 0.000 0.220

---

[6]
ThS2ClO8 | Alexandria via LeMat-Bulk | PBE-GGA | relaxed; formation energy (no corrections) = -1.75 eV/atom; uncorrected energy = -6.52 eV/atom
1.0
-1.621 -3.213 4.967
0.590 -6.103 -0.175
5.414 0.417 2.094
Th S Cl O
1 2 1 8
Direct
0.000 0.000 0.000
0.663 0.663 0.250
0.337 0.337 0.750
0.000 0.000 0.500
0.599 0.218 0.834
0.789 0.789 0.127
0.674 0.674 0.495
0.326 0.326 0.505
0.211 0.211 0.873
0.218 0.599 0.834
0.782 0.401 0.166
0.401 0.782 0.166